## Ho3WO7 (GGA+U)

Data for Ho3WO7 after structural relaxation.

Output
V   13.347 Å³ per atom
SG   C222_1
Energy   -8.2328 eV/atom
Theoretical density   8.94 g cm⁻³

Cell lengths 6.456, 6.456, 7.452 Å; angles 90.00, 90.00, 109.01 degrees
Last column: magnetic moment on the atom in μB.
Element x y z (fractional)
O  0.363  0.637  0.750  0.00
O  0.076  0.924  0.750  0.01
O  0.924  0.076  0.250  0.01
O  0.083  0.327  0.527  0.01
Ho  0.533  0.002  0.254  0.02
O  0.682  0.935  0.534  0.01
O  0.318  0.065  0.034  0.01
Ho  0.002  0.533  0.746  0.02
Ho  0.522  0.522  0.000  0.00
Ho  0.998  0.467  0.246  0.02
O  0.917  0.673  0.027  0.01
Ho  0.478  0.478  0.500  0.00
O  0.369  0.631  0.250  0.00
W  0.000  0.000  0.000  0.96
O  0.065  0.318  0.966  0.01
O  0.631  0.369  0.750  0.00
O  0.673  0.917  0.973  0.01
O  0.637  0.363  0.250  0.00
O  0.935  0.682  0.466  0.01
O  0.327  0.083  0.473  0.01
W  0.000  0.000  0.500  0.96
Ho  0.467  0.998  0.754  0.02